[1]
# SCAN Se2S2O7, single point on PBEsol structure
data_Se2S2O7
_cell_length_a 6.839
_cell_length_b 7.600
_cell_length_c 14.113
_cell_angle_alpha 99.21
_cell_angle_beta 90.00
_cell_angle_gamma 90.00
_symmetry_space_group_name_H-M 'P 1'
_symmetry_Int_Tables_number 1
loop_
_symmetry_equiv_pos_as_xyz
'x,y,z'
loop_
_atom_site_label
_atom_site_type_symbol
_atom_site_fract_x
_atom_site_fract_y
_atom_site_fract_z
O1 O 0.753 0.215 0.426
S1 S 0.706 0.019 0.387
Se1 Se 0.966 0.692 0.573
O2 O 0.939 0.259 0.257
S2 S 0.206 0.481 0.113
Se2 Se 0.591 0.096 0.908
O3 O 0.144 0.090 0.578
S3 S 0.294 0.981 0.613
O4 O 0.923 0.044 0.779
O5 O 0.830 0.056 0.116
O6 O 0.253 0.285 0.074
O7 O 0.729 0.997 0.272
O8 O 0.005 0.515 0.100
Se3 Se 0.909 0.596 0.408
O9 O 0.495 0.015 0.600
O10 O 0.356 0.590 0.078
O11 O 0.771 0.497 0.772
S4 S 0.084 0.926 0.788
O12 O 0.505 0.985 0.400
O13 O 0.061 0.741 0.743
O14 O 0.670 0.556 0.616
O15 O 0.439 0.241 0.243
O16 O 0.995 0.485 0.900
O17 O 0.271 0.003 0.728
O18 O 0.423 0.456 0.721
O19 O 0.330 0.444 0.384
O20 O 0.170 0.944 0.884
Se4 Se 0.034 0.308 0.427
O21 O 0.561 0.759 0.757
Se5 Se 0.534 0.192 0.073
O22 O 0.247 0.785 0.574
O23 O 0.229 0.503 0.228
O24 O 0.077 0.956 0.221
S5 S 0.416 0.426 0.288
S6 S 0.916 0.074 0.212
O25 O 0.747 0.715 0.926
Se6 Se 0.091 0.404 0.592
Se7 Se 0.409 0.904 0.092
O26 O 0.577 0.544 0.279
S7 S 0.584 0.574 0.712
S8 S 0.794 0.519 0.887
O27 O 0.644 0.410 0.922
O28 O 0.856 0.910 0.422
Se8 Se 0.466 0.808 0.927
# Uncorrected formation energy, eV per formula unit: -11.10
# Calculated total energy, eV per atom: -10.3756
# Density of states at the Fermi level, states/eV/f.u.: 0.00
# Symmetry: P2_1/c, No. 14
# Total magnetic moment, μB/f.u.: 0.0

[2]
# SCAN SiSO3, single point on PBEsol structure
data_SiSO3
_cell_length_a 3.740
_cell_length_b 3.740
_cell_length_c 3.740
_cell_angle_alpha 90.00
_cell_angle_beta 90.00
_cell_angle_gamma 90.00
_symmetry_space_group_name_H-M 'P 1'
_symmetry_Int_Tables_number 1
loop_
_symmetry_equiv_pos_as_xyz
'x,y,z'
loop_
_atom_site_label
_atom_site_type_symbol
_atom_site_fract_x
_atom_site_fract_y
_atom_site_fract_z
O1 O 0.000 0.000 0.500
S1 S 0.000 0.000 0.000
O2 O 0.500 0.000 0.000
Si1 Si 0.500 0.500 0.500
O3 O 0.000 0.500 0.000
# Uncorrected formation energy, eV per formula unit: 0.37
# Calculated total energy, eV per atom: -7.5938
# Density of states at the Fermi level, states/eV/f.u.: 0.14
# Symmetry: Pm-3m, No. 221
# Total magnetic moment, μB/f.u.: 0.0

Among the records above, which one has the highest calculated total energy? SiSO3

What is the formula in the first record? Se2S2O7